(1)
# SCAN BaTa5, single point on PBEsol structure
# Crystal system = hexagonal
# VASP energy = -2.25640 hartree per atom
# Total moment = 0.0 μB/cell
# Energy of formation = 678.1 meV/atom
data_BaTa5
_cell_length_a 6.0600
_cell_length_b 6.0600
_cell_length_c 4.2921
_cell_angle_alpha 90.00
_cell_angle_beta 90.00
_cell_angle_gamma 120.00
_symmetry_space_group_name_H-M 'P 6/m m m'
_symmetry_Int_Tables_number 191
_symmetry_space_group_name_Hall '-P 6 2'
loop_
_atom_site_label
_atom_site_type_symbol
_atom_site_fract_x
_atom_site_fract_y
_atom_site_fract_z
_atom_site_occupancy
Ba1 Ba 0.0000 0.0000 0.0000 1
Ta1 Ta 0.0000 0.5000 0.5000 1
Ta2 Ta 0.3333 0.6667 0.0000 1


(2)
# SCAN LaSc2, single point on PBEsol structure
# Crystal system = trigonal
# VASP energy = -0.87437 hartree per atom
# Total moment = 1.3 μB/cell
# Energy of formation = 67.0 meV/atom
data_LaSc2
_cell_length_a 3.3685
_cell_length_b 3.3685
_cell_length_c 16.2970
_cell_angle_alpha 90.00
_cell_angle_beta 90.00
_cell_angle_gamma 120.00
_symmetry_space_group_name_H-M 'P -3 m 1'
_symmetry_Int_Tables_number 164
_symmetry_space_group_name_Hall '-P 3 2"'
loop_
_atom_site_label
_atom_site_type_symbol
_atom_site_fract_x
_atom_site_fract_y
_atom_site_fract_z
_atom_site_occupancy
La1 La 0.3333 0.6667 0.0999 1
Sc1 Sc 0.3333 0.6667 0.4234 1
Sc2 Sc 0.3333 0.6667 0.7293 1


(3)
# SCAN Y2TlCo2, single point on PBEsol structure
# Crystal system = tetragonal
# VASP energy = -1.20005 hartree per atom
# Total moment = 5.0 μB/cell
# Energy of formation = -124.5 meV/atom
data_Y2TlCo2
_cell_length_a 3.3620
_cell_length_b 3.3620
_cell_length_c 17.9937
_cell_angle_alpha 90.00
_cell_angle_beta 90.00
_cell_angle_gamma 90.00
_symmetry_space_group_name_H-M 'I 4/m m m'
_symmetry_Int_Tables_number 139
_symmetry_space_group_name_Hall '-I 4 2'
loop_
_atom_site_label
_atom_site_type_symbol
_atom_site_fract_x
_atom_site_fract_y
_atom_site_fract_z
_atom_site_occupancy
Y1 Y 0.0000 0.0000 0.1250 1
Tl1 Tl 0.0000 0.0000 0.5000 1
Co1 Co 0.0000 0.5000 0.2500 1


(4)
# SCAN Zr2Al2Cu, single point on PBEsol structure
# Crystal system = tetragonal
# VASP energy = -0.69312 hartree per atom
# Total moment = 0.0 μB/cell
# Energy of formation = -440.7 meV/atom
data_Zr2Al2Cu
_cell_length_a 6.3991
_cell_length_b 6.3991
_cell_length_c 4.3299
_cell_angle_alpha 90.00
_cell_angle_beta 90.00
_cell_angle_gamma 90.00
_symmetry_space_group_name_H-M 'P 4/m b m'
_symmetry_Int_Tables_number 127
_symmetry_space_group_name_Hall '-P 4 2ab'
loop_
_atom_site_label
_atom_site_type_symbol
_atom_site_fract_x
_atom_site_fract_y
_atom_site_fract_z
_atom_site_occupancy
Zr1 Zr 0.1650 0.3350 0.0000 1
Al1 Al 0.1420 0.6420 0.5000 1
Cu1 Cu 0.0000 0.0000 0.5000 1


(5)
# SCAN Tc2HOsO, single point on PBEsol structure
# Crystal system = tetragonal
# VASP energy = -1.06076 hartree per atom
# Total moment = 0.0 μB/cell
data_Tc2HOsO
_cell_length_a 4.6766
_cell_length_b 4.6766
_cell_length_c 3.0565
_cell_angle_alpha 90.00
_cell_angle_beta 90.00
_cell_angle_gamma 90.00
_symmetry_space_group_name_H-M 'P 4/m m m'
_symmetry_Int_Tables_number 123
_symmetry_space_group_name_Hall '-P 4 2'
loop_
_atom_site_label
_atom_site_type_symbol
_atom_site_fract_x
_atom_site_fract_y
_atom_site_fract_z
_atom_site_occupancy
Tc1 Tc 0.0000 0.5000 0.0000 1
H1 H 0.0000 0.0000 0.5000 1
Os1 Os 0.0000 0.0000 0.0000 1
O1 O 0.5000 0.5000 0.5000 1


(6)
# SCAN Zr2ReCl, single point on PBEsol structure
# Crystal system = orthorhombic
# VASP energy = -1.29225 hartree per atom
# Raw formation energy = -0.0456 eV per atom
# Total moment = 0.0 μB/cell
data_Zr2ReCl
_cell_length_a 3.2325
_cell_length_b 5.0637
_cell_length_c 9.6417
_cell_angle_alpha 90.00
_cell_angle_beta 90.00
_cell_angle_gamma 90.00
_symmetry_space_group_name_H-M 'C m m 2'
_symmetry_Int_Tables_number 35
loop_
_symmetry_equiv_pos_as_xyz
'x,y,z'
'-x,-y,z'
'-x,y,z'
'x,-y,z'
'x+1/2,y+1/2,z'
'-x+1/2,-y+1/2,z'
'-x+1/2,y+1/2,z'
'x+1/2,-y+1/2,z'
loop_
_atom_site_label
_atom_site_type_symbol
_atom_site_fract_x
_atom_site_fract_y
_atom_site_fract_z
_atom_site_occupancy
Zr1 Zr 0.0000 0.0000 0.0000 1
Zr2 Zr 0.0000 0.5000 0.2720 1
Re1 Re 0.0000 0.5000 0.7916 1
Cl1 Cl 0.0000 0.0000 0.4765 1


(7)
# SCAN SnBI3, single point on PBEsol structure
# Crystal system = cubic
# VASP energy = -1.09544 hartree per atom
# Raw formation energy = 0.9066 eV per atom
# Total moment = 0.2 μB/cell
data_SnBI3
_cell_length_a 5.9387
_cell_length_b 5.9387
_cell_length_c 5.9387
_cell_angle_alpha 90.00
_cell_angle_beta 90.00
_cell_angle_gamma 90.00
_symmetry_space_group_name_H-M 'P m -3 m'
_symmetry_Int_Tables_number 221
_symmetry_space_group_name_Hall '-P 4 2 3'
loop_
_atom_site_label
_atom_site_type_symbol
_atom_site_fract_x
_atom_site_fract_y
_atom_site_fract_z
_atom_site_occupancy
Sn1 Sn 0.0000 0.0000 0.0000 1
B1 B 0.5000 0.5000 0.5000 1
I1 I 0.0000 0.0000 0.5000 1


(8)
# SCAN Al2RuCl, single point on PBEsol structure
# Crystal system = tetragonal
# VASP energy = -0.55540 hartree per atom
# Raw formation energy = -0.5363 eV per atom
# Total moment = 0.0 μB/cell
data_Al2RuCl
_cell_length_a 2.9943
_cell_length_b 2.9943
_cell_length_c 7.2217
_cell_angle_alpha 90.00
_cell_angle_beta 90.00
_cell_angle_gamma 90.00
_symmetry_space_group_name_H-M 'P 4/m m m'
_symmetry_Int_Tables_number 123
_symmetry_space_group_name_Hall '-P 4 2'
loop_
_atom_site_label
_atom_site_type_symbol
_atom_site_fract_x
_atom_site_fract_y
_atom_site_fract_z
_atom_site_occupancy
Al1 Al 0.0000 0.0000 0.1951 1
Ru1 Ru 0.5000 0.5000 0.0000 1
Cl1 Cl 0.5000 0.5000 0.5000 1